No. 1
A relaxed structure of Li3HoPd7. Source: Alexandria, functional PBE-GGA.

Cell: 8.7172 8.0499 5.1826 Å, 90.00 95.55 90.00°
Space group C2/m (No. 12)
Inequivalent atoms, fractional coordinates:
Li  0.0000  0.0000  0.0000 [2 per cell]
Li  0.0000  0.1866  0.5000 [4 per cell]
Ho  0.0000  0.5000  0.0000 [2 per cell]
Pd  0.0000  0.5000  0.5000 [2 per cell]
Pd  0.2214  0.0000  0.7127 [4 per cell]
Pd  0.2448  0.1698  0.2359 [8 per cell]

=====

No. 2
A relaxed structure of BaInRu2. Source: Alexandria, functional PBE-GGA.

Cell: 4.6447 4.6447 17.4694 Å, 90.00 90.00 120.00°
Space group R-3m (No. 166, hexagonal axes)
Inequivalent atoms, fractional coordinates:
Ba  0.0000  0.0000  0.0000 [3 per cell]
In  0.0000  0.0000  0.5000 [3 per cell]
Ru  0.0000  0.0000  0.1757 [6 per cell]

=====

No. 3
A relaxed structure of LiLaSm2In4. Source: Alexandria, functional PBE-GGA.

Cell: 5.3198 5.3198 27.0847 Å, 90.00 90.00 120.00°
Space group R-3m (No. 166, hexagonal axes)
Inequivalent atoms, fractional coordinates:
Li  0.0000  0.0000  0.0000 [3 per cell]
La  0.0000  0.0000  0.5000 [3 per cell]
Sm  0.0000  0.0000  0.2556 [6 per cell]
In  0.0000  0.0000  0.1213 [6 per cell]
In  0.0000  0.0000  0.3726 [6 per cell]

=====

Q: Which E_tot values were calculated for the entries above? A: -102.993; -67.897; -91.886, in eV for the cell shown.